A relaxed In3Re crystal. Source: Alexandria via LeMat-Bulk, functional GGA-PBE.

Properties
Total energy in eV/atom: -4.566
E above lowest polymorph in kcal/mol of atoms: 7.232
Size of the total moment in μB/f.u.: 1.1
Energy of formation from the pure elements in kcal/mol of atoms: 13.832

Cell: 5.474 5.474 5.474 Å, 90.00 90.00 90.00°
Space group Pm-3n (No. 223)
Asymmetric unit:
1 In 0.000 0.250 0.500 (multiplicity 6)
2 Re 0.000 0.000 0.000 (multiplicity 2)